A relaxed Ho2Er4Mg crystal, computed with PBE.

Summary:
- DFT total energy: -27.99 eV per cell
- Space-group type: Pm (6)
- Formation energy: 1.01 eV per formula unit

abc: 3.5755 5.8615 11.2423
angles: 111.79 90.00 90.00
With the nearest neighbours (Å) after each atom.
Atoms (fractional coordinates):
Er (0.0000, 0.6392, 0.1991)  6 Er 3.45-3.58, 2 Mg 3.58-3.61, 3 Ho 3.71-3.77
Er (0.0000, 0.3615, 0.8012)  6 Er 3.45-3.58, 2 Mg 3.58-3.60, 3 Ho 3.72-3.76
Er (0.5000, 0.8298, 0.7514)  2 Mg 3.15, 3 Ho 3.30-3.33, 4 Er 3.45-3.49
Er (0.5000, 0.1707, 0.2486)  2 Mg 3.15, 3 Ho 3.30-3.33, 4 Er 3.45-3.49
Ho (0.5001, 0.9991, 0.4996)  6 Er 3.33-3.72, 6 Ho 3.43-3.58
Ho (0.0000, 0.4994, 0.5001)  4 Er 3.30, 6 Ho 3.43-3.58
Mg (0.0000, 0.0005, 0.0000)  4 Er 3.15

A relaxed AlTl2Zn crystal, computed with PBE.

Summary:
- DFT total energy: -8.93 eV per cell
- Space-group type: Cm (8)
- Formation energy: 0.82 eV per formula unit

abc: 5.7741 5.7741 5.5745
angles: 70.02 70.02 33.54
With the nearest neighbours (Å) after each atom.
Atoms (fractional coordinates):
Al (0.2167, 0.2167, 0.2262)  2 Zn 2.69
Zn (0.5336, 0.5336, 0.5244)  2 Al 2.69
Tl (0.7732, 0.7732, 0.6986)  3 Zn 3.13-3.16, 4 Al 3.24-3.36, 3 Tl 3.33-3.47
Tl (0.9766, 0.9766, 0.0508)  3 Al 3.14-3.16, 4 Zn 3.23-3.37, 4 Tl 3.33-3.51

A relaxed CeScInHg crystal, computed with PBE.

Summary:
- DFT total energy: -16.68 eV per cell
- Space-group type: F-43m (216)
- Formation energy: -1.38 eV per formula unit

abc: 5.2526 5.2526 5.2526
angles: 60.00 60.00 60.00
With the nearest neighbours (Å) after each atom.
Atoms (fractional coordinates):
Sc (0.0000, 0.0000, 0.0000)  4 In 3.22, 4 Hg 3.22
Hg (0.2500, 0.2500, 0.2500)  4 Ce 3.22, 4 Sc 3.22
In (0.7500, 0.7500, 0.7500)  4 Ce 3.22, 4 Sc 3.22
Ce (0.5000, 0.5000, 0.5000)  4 Hg 3.22, 4 In 3.22

A relaxed Ba2CeNpO6 crystal, computed with PBE.

Summary:
- ΔE_f (raw): -3.049 eV per atom
- DFT total energy: -165.91 eV per cell
- Space-group type: Pmmn (59)

abc: 6.3027 6.3033 8.9133
angles: 90.00 90.00 90.00
With the nearest neighbours (Å) after each atom.
Atoms (fractional coordinates):
Ba (0.5000, 0.7530, 0.2500)  12 O 3.11-3.20
Ba (0.0000, 0.2470, 0.2500)  12 O 3.11-3.20
Ba (0.0000, 0.2470, 0.7500)  12 O 3.11-3.20
Ba (0.5000, 0.7530, 0.7500)  12 O 3.11-3.20
O (0.2440, 0.9960, 0.0000)  1 Np 2.18, 1 Ce 2.28
O (0.5000, 0.2462, 0.7446)  1 Np 2.18, 1 Ce 2.28
O (0.7440, 0.0040, 0.5000)  1 Np 2.18, 1 Ce 2.28
O (0.7549, 0.5067, 0.0000)  1 Np 2.18, 1 Ce 2.27
O (0.2549, 0.4933, 0.5000)  1 Np 2.18, 1 Ce 2.27
O (0.5000, 0.2462, 0.2554)  1 Np 2.18, 1 Ce 2.28
O (0.2451, 0.5067, 0.0000)  1 Np 2.18, 1 Ce 2.27
O (0.7451, 0.4933, 0.5000)  1 Np 2.18, 1 Ce 2.27
O (0.7560, 0.9960, 0.0000)  1 Np 2.18, 1 Ce 2.28
O (0.2560, 0.0040, 0.5000)  1 Np 2.18, 1 Ce 2.28
O (0.0000, 0.7538, 0.2446)  1 Np 2.18, 1 Ce 2.28
O (0.0000, 0.7538, 0.7554)  1 Np 2.18, 1 Ce 2.28
Np (0.0000, 0.7507, 0.0000)  6 O 2.18
Np (0.5000, 0.2493, 0.5000)  6 O 2.18
Ce (0.5000, 0.2513, 0.0000)  6 O 2.27-2.28
Ce (0.0000, 0.7487, 0.5000)  6 O 2.27-2.28

A relaxed DyTmCO crystal, computed with PBE.

Summary:
- ΔE_f (raw): -1.260 eV per atom
- DFT total energy: -28.30 eV per cell
- Space-group type: Imm2 (44)

abc: 3.1176 3.2483 6.3400
angles: 104.84 104.23 90.00
With the nearest neighbours (Å) after each atom.
Atoms (fractional coordinates):
C (0.6669, 0.6669, 0.3337)  2 Dy 2.45, 4 Tm 2.50
O (0.4150, 0.9150, 0.8300)  2 Tm 2.46, 4 Dy 2.51
Tm (0.0755, 0.0755, 0.1509)  2 O 2.46, 4 C 2.50
Dy (0.8218, 0.3218, 0.6436)  2 C 2.45, 4 O 2.51

A relaxed RbCd2SbC crystal, computed with PBE.

Summary:
- ΔE_f (raw): 0.846 eV per atom
- DFT total energy: -11.91 eV per cell
- Space-group type: P4/mmm (123)

abc: 4.9611 5.2387 4.9611
angles: 90.00 90.00 90.00
With the nearest neighbours (Å) after each atom.
Atoms (fractional coordinates):
Sb (0.0000, 0.5000, 0.0000)  2 C 2.62
Rb (0.5000, 0.5000, 0.5000)  4 Sb 3.51, 8 Cd 3.61
Cd (0.5000, 0.0000, 0.0000)  2 C 2.48
Cd (0.0000, 0.0000, 0.5000)  2 C 2.48
C (0.0000, 0.0000, 0.0000)  4 Cd 2.48, 2 Sb 2.62

A relaxed K2LiHfTe4 crystal, computed with PBE.

Summary:
- ΔE_f (raw): -0.854 eV per atom
- DFT total energy: -33.46 eV per cell
- Space-group type: P2/m (10)

abc: 4.2139 8.6183 7.5065
angles: 73.87 90.00 90.00
With the nearest neighbours (Å) after each atom.
Atoms (fractional coordinates):
Li (0.5000, 0.5000, 0.0000)  6 Te 2.98-3.05
Hf (0.0000, 0.5000, 0.5000)  6 Te 2.88-2.91
Te (0.5000, 0.3028, 0.7200)  2 Hf 2.91, 1 Li 3.05
Te (0.0000, 0.6945, 0.7564)  1 Hf 2.88, 2 Li 2.98
Te (0.5000, 0.6972, 0.2800)  2 Hf 2.91, 1 Li 3.05
Te (0.0000, 0.3055, 0.2436)  1 Hf 2.88, 2 Li 2.98
K (0.0000, 0.0000, 0.0000)  6 Te 3.55-3.60
K (0.5000, 0.0000, 0.5000)  6 Te 3.45-3.50

A relaxed ScV2Pt2 crystal, computed with PBE.

Summary:
- DFT total energy: -77.61 eV per cell
- Space-group type: P4/mbm (127)
- Formation energy: -2.16 eV per formula unit

abc: 7.5899 7.5899 2.8196
angles: 90.00 90.00 90.00
With the nearest neighbours (Å) after each atom.
Atoms (fractional coordinates):
Sc (0.5000, 0.5000, 0.0000)  2 Sc 2.82, 4 Pt 2.98
Sc (0.0000, 0.0000, 0.0000)  2 Sc 2.82, 4 Pt 2.98
Pt (0.1301, 0.3699, 0.0000)  6 V 2.59-2.68, 3 Pt 2.79-2.82
Pt (0.6301, 0.1301, 0.0000)  6 V 2.59-2.68, 3 Pt 2.79-2.82
Pt (0.3699, 0.8699, 0.0000)  6 V 2.59-2.68, 3 Pt 2.79-2.82
Pt (0.8699, 0.6301, 0.0000)  6 V 2.59-2.68, 3 Pt 2.79-2.82
V (0.8327, 0.3327, 0.5000)  6 Pt 2.59-2.68, 2 V 2.82
V (0.3327, 0.1673, 0.5000)  6 Pt 2.59-2.68, 2 V 2.82
V (0.1673, 0.6673, 0.5000)  6 Pt 2.59-2.68, 2 V 2.82
V (0.6673, 0.8327, 0.5000)  6 Pt 2.59-2.68, 2 V 2.82

A relaxed HoThPdRh crystal, computed with PBE.

Summary:
- DFT total energy: -27.67 eV per cell
- Space-group type: F-43m (216)
- Formation energy: -3.12 eV per formula unit

abc: 5.0079 5.0079 5.0079
angles: 60.00 60.00 60.00
With the nearest neighbours (Å) after each atom.
Atoms (fractional coordinates):
Th (0.7500, 0.7500, 0.7500)  4 Rh 3.07, 4 Pd 3.07
Rh (0.5000, 0.5000, 0.5000)  4 Ho 3.07, 4 Th 3.07
Ho (0.2500, 0.2500, 0.2500)  4 Pd 3.07, 4 Rh 3.07
Pd (0.0000, 0.0000, 0.0000)  4 Th 3.07, 4 Ho 3.07

A relaxed SrPtN2F crystal, computed with PBE.

Summary:
- ΔE_f (raw): -0.451 eV per atom
- DFT total energy: -28.50 eV per cell
- Space-group type: P4/mmm (123)

abc: 3.8099 3.8099 5.4870
angles: 90.00 90.00 90.00
With the nearest neighbours (Å) after each atom.
Atoms (fractional coordinates):
F (0.0000, 0.0000, 0.5000)  4 Sr 2.69, 2 Pt 2.74
N (0.0000, 0.5000, 0.0000)  2 Pt 1.90
N (0.5000, 0.0000, 0.0000)  2 Pt 1.90
Pt (0.0000, 0.0000, 0.0000)  4 N 1.90
Sr (0.5000, 0.5000, 0.5000)  4 F 2.69

A relaxed Gd2Br3N crystal, computed with PBE.

Summary:
- ΔE_f (raw): -1.854 eV per atom
- DFT total energy: -210.52 eV per cell
- Space-group type: P-1 (2)

abc: 8.6653 8.3271 10.8375
angles: 103.75 108.51 100.07
With the nearest neighbours (Å) after each atom.
Atoms (fractional coordinates):
Br (0.9538, 0.5836, 0.7576)  3 Gd 2.96-3.29
Br (0.1008, 0.8113, 0.5221)  2 Gd 2.87-2.93
Br (0.4752, 0.8558, 0.8346)  2 Gd 2.85-3.19
Br (0.5248, 0.1442, 0.1654)  2 Gd 2.85-3.19
Br (0.0462, 0.4164, 0.2424)  3 Gd 2.96-3.29
Br (0.5960, 0.5840, 0.3916)  3 Gd 2.95-3.16
Br (0.8992, 0.1887, 0.4779)  2 Gd 2.87-2.93
Br (0.7084, 0.3138, 0.9006)  3 Gd 2.83-3.16
Br (0.2916, 0.6862, 0.0994)  3 Gd 2.83-3.16
Br (0.4040, 0.4160, 0.6084)  3 Gd 2.95-3.16
Br (0.7474, 0.7862, 0.1542)  3 Gd 2.94-3.26
Br (0.2526, 0.2138, 0.8458)  3 Gd 2.94-3.26
Gd (0.8487, 0.0689, 0.0520)  2 N 2.25-2.26
Gd (0.3151, 0.2374, 0.3114)  2 N 2.24-2.27
Gd (0.5833, 0.9302, 0.3761)  2 N 2.26-2.29
Gd (0.6849, 0.7626, 0.6886)  2 N 2.24-2.27
Gd (0.1128, 0.8237, 0.2574)  2 N 2.25-2.28
Gd (0.1513, 0.9311, 0.9480)  2 N 2.25-2.26
Gd (0.4167, 0.0698, 0.6239)  2 N 2.26-2.29
Gd (0.8872, 0.1763, 0.7426)  2 N 2.25-2.28
N (0.6432, 0.9779, 0.6026)  4 Gd 2.24-2.29
N (0.1016, 0.0207, 0.1422)  4 Gd 2.25-2.28
N (0.8984, 0.9793, 0.8578)  4 Gd 2.25-2.28
N (0.3568, 0.0221, 0.3974)  4 Gd 2.24-2.29

A relaxed Re3Os crystal, computed with PBE.

Summary:
- DFT total energy: -36.18 eV per cell
- Space-group type: Pm-3m (221)
- Formation energy: 12.40 eV per formula unit

abc: 4.7560 4.7560 4.7560
angles: 90.00 90.00 90.00
With the nearest neighbours (Å) after each atom.
Atoms (fractional coordinates):
Re (0.5000, 0.0000, 0.0000)  2 Os 2.38
Re (0.0000, 0.0000, 0.5000)  2 Os 2.38
Re (0.0000, 0.5000, 0.0000)  2 Os 2.38
Os (0.0000, 0.0000, 0.0000)  6 Re 2.38